Entry 1:
The following is a PBE calculation of a relaxed structure of Al2GeIr, from the Alexandria database.

Summary:
**ΔH_f (0 K)**: -0.0007 eV/atom
**VASP energy**: -5.24 eV/atom
**Calculated density**: 6.7 g/cm³

Lattice parameters (Å, degrees): 8.1590 8.1590 4.7412 90.00 90.00 90.00
With the nearest neighbours (Å) after each atom.
Space group I-42d (No. 122)
Inequivalent atoms, fractional coordinates:
Al 0.1620 0.7500 0.1250 x8  2 Ir 2.50, 2 Al 2.77
Ge 0.0000 0.0000 0.5000 x4  2 Ir 2.37
Ir 0.0000 0.0000 0.0000 x4  2 Ge 2.37, 4 Al 2.50


Entry 2:
The following is a PBE calculation of a relaxed structure of AlGe3Ir, from the Alexandria database.

Summary:
**ΔH_f (0 K)**: 0.4047 eV/atom
**VASP energy**: -4.89 eV/atom
**Calculated density**: 6.4 g/cm³

Lattice parameters (Å, degrees): 4.8336 4.8336 4.8336 90.00 90.00 90.00
With the nearest neighbours (Å) after each atom.
Space group Pm-3m (No. 221)
Inequivalent atoms, fractional coordinates:
Al 0.0000 0.0000 0.0000 x1  12 Ge 3.42
Ge 0.0000 0.5000 0.5000 x3  2 Ir 2.42
Ir 0.5000 0.5000 0.5000 x1  6 Ge 2.42


Entry 3:
The following is a PBE calculation of a relaxed structure of AlGeIr3, from the Alexandria database.

Summary:
**ΔH_f (0 K)**: 0.8947 eV/atom
**VASP energy**: -6.09 eV/atom
**Calculated density**: 12.1 g/cm³

Lattice parameters (Å, degrees): 4.5254 4.5254 4.5254 90.00 90.00 90.00
With the nearest neighbours (Å) after each atom.
Space group Pm-3m (No. 221)
Inequivalent atoms, fractional coordinates:
Al 0.0000 0.0000 0.0000 x1  12 Ir 3.20
Ge 0.5000 0.5000 0.5000 x1  6 Ir 2.26
Ir 0.0000 0.5000 0.5000 x3  2 Ge 2.26


Entry 4:
The following is a PBE calculation of a relaxed structure of Al2Ge2Ir, from the Alexandria database.

Summary:
**ΔH_f (0 K)**: 0.1068 eV/atom
**VASP energy**: -5.01 eV/atom
**Calculated density**: 7.4 g/cm³

Lattice parameters (Å, degrees): 6.5176 6.5176 4.1249 90.00 90.00 90.00
With the nearest neighbours (Å) after each atom.
Space group P4/mbm (No. 127)
Inequivalent atoms, fractional coordinates:
Al 0.1468 0.3532 0.0000 x4  2 Ir 2.49, 1 Al 2.71, 2 Ge 2.71
Ge 0.1630 0.6630 0.5000 x4  6 Al 2.71-2.89, 1 Ge 3.01
Ir 0.0000 0.0000 0.0000 x2  4 Al 2.49